(1)
Entry from Alexandria via LeMat-Bulk: a geometry-optimized Pm2Sm4Dy5 structure (PBE).

Results
The formation energy is 0.16 eV per atom. The density of states at the Fermi level is 17.50 states/eV/cell. As for the symmetry: C2/m.

The structure in CIF format:
```
data_Pm2Sm4Dy5
_cell_length_a 6.9734
_cell_length_b 6.9734
_cell_length_c 10.4984
_cell_angle_alpha 118.27
_cell_angle_beta 118.27
_cell_angle_gamma 59.38
_symmetry_space_group_name_H-M 'P 1'
_symmetry_Int_Tables_number 1
loop_
_symmetry_equiv_pos_as_xyz
'x,y,z'
loop_
_atom_site_label
_atom_site_type_symbol
_atom_site_fract_x
_atom_site_fract_y
_atom_site_fract_z
Pm1 Pm 0.2425 0.2425 0.3444
Pm2 Pm 0.7575 0.7575 0.6556
Sm1 Sm 0.1848 0.1848 0.0003
Sm2 Sm 0.2179 0.2179 0.6572
Sm3 Sm 0.7821 0.7821 0.3428
Sm4 Sm 0.8152 0.8152 0.9997
Dy1 Dy 0.2672 0.7325 0.3273
Dy2 Dy 0.2675 0.7328 0.6727
Dy3 Dy 0.5000 0.5000 0.0000
Dy4 Dy 0.7325 0.2672 0.3273
Dy5 Dy 0.7328 0.2675 0.6727
```

(2)
Entry from Alexandria via LeMat-Bulk: a geometry-optimized PmSm12Dy7 structure (PBE).

Results
The formation energy is 0.67 eV per atom. The density of states at the Fermi level is 24.60 states/eV/cell. As for the symmetry: Im-3m.

The structure in CIF format:
```
data_PmSm12Dy7
_cell_length_a 9.9297
_cell_length_b 9.9297
_cell_length_c 9.9297
_cell_angle_alpha 109.47
_cell_angle_beta 109.47
_cell_angle_gamma 109.47
_symmetry_space_group_name_H-M 'P 1'
_symmetry_Int_Tables_number 1
loop_
_symmetry_equiv_pos_as_xyz
'x,y,z'
loop_
_atom_site_label
_atom_site_type_symbol
_atom_site_fract_x
_atom_site_fract_y
_atom_site_fract_z
Pm1 Pm 0.0000 0.0000 0.0000
Sm1 Sm 0.0000 0.2523 0.7477
Sm2 Sm 0.0000 0.7477 0.2523
Sm3 Sm 0.2523 0.0000 0.7477
Sm4 Sm 0.2523 0.2523 0.5046
Sm5 Sm 0.2523 0.5046 0.2523
Sm6 Sm 0.2523 0.7477 0.0000
Sm7 Sm 0.4954 0.7477 0.7477
Sm8 Sm 0.5046 0.2523 0.2523
Sm9 Sm 0.7477 0.0000 0.2523
Sm10 Sm 0.7477 0.2523 0.0000
Sm11 Sm 0.7477 0.4954 0.7477
Sm12 Sm 0.7477 0.7477 0.4954
Dy1 Dy 0.0000 0.0000 0.5000
Dy2 Dy 0.0000 0.5000 0.0000
Dy3 Dy 0.0000 0.5000 0.5000
Dy4 Dy 0.5000 0.0000 0.0000
Dy5 Dy 0.5000 0.0000 0.5000
Dy6 Dy 0.5000 0.5000 0.0000
Dy7 Dy 0.5000 0.5000 0.5000
```

(3)
Entry from Alexandria via LeMat-Bulk: a geometry-optimized Pm3Sm2Dy5 structure (PBE).

Results
The formation energy is 0.39 eV per atom. The density of states at the Fermi level is 29.49 states/eV/cell. As for the symmetry: Ibam.

The structure in CIF format:
```
data_Pm3Sm2Dy5
_cell_length_a 9.9539
_cell_length_b 9.9539
_cell_length_c 9.9539
_cell_angle_alpha 123.48
_cell_angle_beta 93.13
_cell_angle_gamma 113.19
_symmetry_space_group_name_H-M 'P 1'
_symmetry_Int_Tables_number 1
loop_
_symmetry_equiv_pos_as_xyz
'x,y,z'
loop_
_atom_site_label
_atom_site_type_symbol
_atom_site_fract_x
_atom_site_fract_y
_atom_site_fract_z
Pm1 Pm 0.1273 0.2501 0.3773
Pm2 Pm 0.2500 0.2500 0.0000
Pm3 Pm 0.3727 0.7501 0.1228
Pm4 Pm 0.6273 0.2499 0.8772
Pm5 Pm 0.7500 0.7500 0.0000
Pm6 Pm 0.8727 0.7499 0.6227
Sm1 Sm 0.1252 0.9002 0.0255
Sm2 Sm 0.3748 0.4002 0.7750
Sm3 Sm 0.6252 0.5998 0.2250
Sm4 Sm 0.8748 0.0998 0.9745
Dy1 Dy 0.0016 0.7500 0.2516
Dy2 Dy 0.1230 0.5896 0.7126
Dy3 Dy 0.2500 0.7500 0.5000
Dy4 Dy 0.3770 0.0896 0.4665
Dy5 Dy 0.4984 0.7500 0.7484
Dy6 Dy 0.5016 0.2500 0.2516
Dy7 Dy 0.6230 0.9104 0.5335
Dy8 Dy 0.7500 0.2500 0.5000
Dy9 Dy 0.8770 0.4104 0.2874
Dy10 Dy 0.9984 0.2500 0.7484
```

(4)
Entry from Alexandria via LeMat-Bulk: a geometry-optimized Pm6Sm2Dy3 structure (PBE).

Results
The formation energy is 0.01 eV per atom. The density of states at the Fermi level is 14.94 states/eV/cell. As for the symmetry: P-1.

The structure in CIF format:
```
data_Pm6Sm2Dy3
_cell_length_a 3.6160
_cell_length_b 6.2547
_cell_length_c 16.9748
_cell_angle_alpha 90.06
_cell_angle_beta 90.03
_cell_angle_gamma 106.72
_symmetry_space_group_name_H-M 'P 1'
_symmetry_Int_Tables_number 1
loop_
_symmetry_equiv_pos_as_xyz
'x,y,z'
loop_
_atom_site_label
_atom_site_type_symbol
_atom_site_fract_x
_atom_site_fract_y
_atom_site_fract_z
Pm1 Pm 0.0454 0.0906 0.1821
Pm2 Pm 0.1362 0.2717 0.5451
Pm3 Pm 0.2268 0.4530 0.9091
Pm4 Pm 0.7732 0.5470 0.0909
Pm5 Pm 0.8638 0.7283 0.4549
Pm6 Pm 0.9546 0.9094 0.8179
Sm1 Sm 0.3173 0.6347 0.2736
Sm2 Sm 0.6827 0.3653 0.7264
Dy1 Dy 0.4091 0.8187 0.6360
Dy2 Dy 0.5000 0.0000 0.0000
Dy3 Dy 0.5909 0.1813 0.3640
```

(5)
Entry from Alexandria via LeMat-Bulk: a geometry-optimized Pm4SmDy2 structure (PBE).

Results
The formation energy is 0.12 eV per atom. The density of states at the Fermi level is 21.65 states/eV/cell. As for the symmetry: P2_1/m.

The structure in CIF format:
```
data_Pm4SmDy2
_cell_length_a 6.1924
_cell_length_b 6.6506
_cell_length_c 11.7574
_cell_angle_alpha 90.00
_cell_angle_beta 105.10
_cell_angle_gamma 90.00
_symmetry_space_group_name_H-M 'P 1'
_symmetry_Int_Tables_number 1
loop_
_symmetry_equiv_pos_as_xyz
'x,y,z'
loop_
_atom_site_label
_atom_site_type_symbol
_atom_site_fract_x
_atom_site_fract_y
_atom_site_fract_z
Pm1 Pm 0.0206 0.2500 0.3560
Pm2 Pm 0.1492 0.2500 0.9458
Pm3 Pm 0.3525 0.5047 0.2136
Pm4 Pm 0.3525 0.9953 0.2136
Pm5 Pm 0.6475 0.0047 0.7864
Pm6 Pm 0.6475 0.4953 0.7864
Pm7 Pm 0.8508 0.7500 0.0542
Pm8 Pm 0.9794 0.7500 0.6440
Sm1 Sm 0.1553 0.2500 0.6575
Sm2 Sm 0.8447 0.7500 0.3425
Dy1 Dy 0.2897 0.7500 0.9309
Dy2 Dy 0.3992 0.7500 0.5027
Dy3 Dy 0.6008 0.2500 0.4973
Dy4 Dy 0.7103 0.2500 0.0691
```

(6)
Entry from Alexandria via LeMat-Bulk: a geometry-optimized Pm5Sm3Dy4 structure (PBE).

Results
The formation energy is 0.01 eV per atom. The density of states at the Fermi level is 15.66 states/eV/cell. As for the symmetry: P-1.

The structure in CIF format:
```
data_Pm5Sm3Dy4
_cell_length_a 6.2500
_cell_length_b 7.2128
_cell_length_c 8.8345
_cell_angle_alpha 90.07
_cell_angle_beta 90.05
_cell_angle_gamma 90.07
_symmetry_space_group_name_H-M 'P 1'
_symmetry_Int_Tables_number 1
loop_
_symmetry_equiv_pos_as_xyz
'x,y,z'
loop_
_atom_site_label
_atom_site_type_symbol
_atom_site_fract_x
_atom_site_fract_y
_atom_site_fract_z
Pm1 Pm 0.0000 0.0000 0.0000
Pm2 Pm 0.3324 0.5003 0.3347
Pm3 Pm 0.4991 0.7515 0.9998
Pm4 Pm 0.5009 0.2485 0.0002
Pm5 Pm 0.6676 0.4997 0.6653
Sm1 Sm 0.0000 0.5000 0.0000
Sm2 Sm 0.1664 0.2482 0.6652
Sm3 Sm 0.8336 0.7518 0.3348
Dy1 Dy 0.1672 0.7517 0.6653
Dy2 Dy 0.3337 0.0003 0.3351
Dy3 Dy 0.6663 0.9997 0.6649
Dy4 Dy 0.8328 0.2483 0.3347
```

Calculated electronic total energy, -4.513; -4.007; -4.281; -4.690; -4.581; -4.680 eV/atom (same order as the records).